## w
{
  "formula": "Ru2Au",
  "functional": "GGA-PBE",
  "state": "optimized geometry",
  "crystal_system": "cubic",
  "cell": [[1.6988, -3.8579, 2.9787], [1.3739, 0.9264, 4.8884], [-2.9246, -1.7466, 3.8780]],
  "species": ["Ru", "Ru", "Ru", "Ru", "Au", "Au"],
  "fractional_positions": [[0.1250, 0.6250, 0.1250], [0.1250, 0.1250, 0.6250], [0.6250, 0.1250, 0.1250], [0.1250, 0.1250, 0.1250], [0.7500, 0.7500, 0.7500], [0.5000, 0.5000, 0.5000]]
}

***

## x
{
  "formula": "Ru2Au",
  "functional": "GGA-PBE",
  "state": "optimized geometry",
  "crystal_system": "orthorhombic",
  "cell": [[-1.1810, 0.4227, 4.7467], [-4.5916, -0.5599, 1.6455], [3.7466, -1.9995, -2.4636]],
  "species": ["Ru", "Ru", "Au"],
  "fractional_positions": [[0.6819, 0.6819, 0.0000], [0.3181, 0.3181, 0.0000], [0.0000, 0.0000, 0.0000]]
}

***

Quick one: most stable of them? x